DFT (PBE) results for a relaxed Ac3Nd3In2Ga crystal.

Results
Density: 7.72 g/cm³
Space-group type: P-62m
Calculated formation energy: -2.58 eV per formula unit
N(E_F): 9.704 states/eV per cell

Unit cell a=9.3830 b=9.3830 c=3.9842 alpha=90.00 beta=90.00 gamma=120.00
Last column: nearest neighbours and their distance in Å.
Element x y z (fractional)
Ac 0.0000 0.7320 0.0000  2 Ga 3.21, 2 In 3.47
Ac 0.2680 0.2680 0.0000  2 Ga 3.21, 2 In 3.47
Ac 0.7320 0.0000 0.0000  2 Ga 3.21, 2 In 3.47
Nd 0.0000 0.3951 0.5000  4 In 3.50, 1 Ga 3.71, 6 Ac 3.74-3.84
Nd 0.3951 0.0000 0.5000  4 In 3.50, 1 Ga 3.71, 6 Ac 3.74-3.84
Nd 0.6049 0.6049 0.5000  4 In 3.50, 1 Ga 3.71, 6 Ac 3.74-3.84
In 0.3333 0.6667 0.0000  3 Ac 3.47, 6 Nd 3.50
In 0.6667 0.3333 0.0000  3 Ac 3.47, 6 Nd 3.50
Ga 0.0000 0.0000 0.5000  6 Ac 3.21